(1)
Density functional theory data (PBE-GGA) for crystalline LiZn2 at its relaxed geometry.

Geometry as POSCAR:
```
LiZn2
1.0
-5.152 -0.754 -0.544
-3.995 -1.866 -2.823
-1.122 -6.007 2.360
Li Zn
2 4
Direct
0.998 0.998 0.996
0.332 0.332 0.344
0.668 0.668 0.665
0.614 0.614 0.275
0.949 0.949 0.609
0.273 0.273 0.943
```

=====

(2)
Density functional theory data (PBE-GGA) for crystalline LiZn at its relaxed geometry.

Geometry as POSCAR:
```
LiZn
1.0
7.898 0.000 0.000
-3.949 6.840 0.000
0.000 0.000 4.122
Li Zn
6 6
Direct
0.819 0.639 0.250
0.181 0.819 0.750
0.361 0.181 0.250
0.181 0.361 0.750
0.819 0.181 0.250
0.639 0.819 0.750
0.442 0.885 0.250
0.558 0.442 0.750
0.115 0.558 0.250
0.558 0.115 0.750
0.442 0.558 0.250
0.885 0.442 0.750
```

=====

(3)
Density functional theory data (PBE-GGA) for crystalline LiZn13 at its relaxed geometry.

Geometry as POSCAR:
```
LiZn13
1.0
-2.101 0.506 -8.367
-6.544 -4.713 -3.104
-7.355 3.860 -2.382
Li Zn
2 26
Direct
0.750 0.750 0.750
0.250 0.250 0.250
0.000 0.000 0.000
0.500 0.500 0.500
0.801 0.439 0.561
0.199 0.561 0.439
0.561 0.199 0.801
0.439 0.801 0.199
0.561 0.439 0.199
0.439 0.561 0.801
0.801 0.199 0.439
0.199 0.801 0.561
0.199 0.439 0.801
0.801 0.561 0.199
0.439 0.199 0.561
0.561 0.801 0.439
0.699 0.939 0.061
0.301 0.061 0.939
0.939 0.699 0.301
0.061 0.301 0.699
0.939 0.301 0.061
0.061 0.699 0.939
0.699 0.061 0.301
0.301 0.939 0.699
0.301 0.699 0.061
0.699 0.301 0.939
0.061 0.939 0.301
0.939 0.061 0.699
```

=====

(4)
Density functional theory data (PBE-GGA) for crystalline LiZn at its relaxed geometry.

Geometry as POSCAR:
```
LiZn
1.0
7.300 0.000 0.000
0.000 7.300 0.000
0.000 0.000 7.300
Li Zn
6 6
Direct
0.250 0.500 0.000
0.750 0.500 0.000
0.500 0.000 0.250
0.500 0.000 0.750
0.000 0.250 0.500
0.000 0.750 0.500
0.250 0.000 0.500
0.750 0.000 0.500
0.000 0.500 0.250
0.000 0.500 0.750
0.500 0.250 0.000
0.500 0.750 0.000
```

=====

(5)
Density functional theory data (PBE-GGA) for crystalline Li5Zn3 at its relaxed geometry.

Geometry as POSCAR:
```
Li5Zn3
1.0
-4.186 1.654 3.043
2.039 -2.255 4.502
2.054 3.596 0.871
Li Zn
5 3
Direct
0.000 0.000 0.000
0.000 0.500 0.000
0.500 0.000 0.000
0.233 0.233 0.500
0.767 0.767 0.500
0.500 0.500 0.000
0.720 0.280 0.500
0.280 0.720 0.500
```

Computed properties:
Distance to the lowest polymorph of the same formula (eV/atom): 0.000

=====

(6)
Density functional theory data (PBE-GGA) for crystalline Li4Zn5 at its relaxed geometry.

Geometry as POSCAR:
```
Li4Zn5
1.0
0.704 -3.571 2.401
-0.029 -3.908 -1.844
7.840 -3.365 -3.344
Li Zn
4 5
Direct
0.667 0.889 0.777
0.333 0.111 0.223
0.001 0.334 0.665
0.999 0.666 0.335
0.334 0.775 0.557
0.666 0.225 0.443
0.334 0.443 0.889
0.666 0.557 0.111
0.000 0.000 0.000
```

Computed properties:
Distance to the lowest polymorph of the same formula (eV/atom): 0.000

=====

(7)
Density functional theory data (PBE-GGA) for crystalline LiZn at its relaxed geometry.

Geometry as POSCAR:
```
LiZn
1.0
-2.519 3.488 0.658
-3.369 -2.647 0.766
3.665 -0.469 2.300
Zn Li
2 2
Direct
0.500 0.500 0.000
0.250 0.750 0.500
0.000 0.000 0.000
0.750 0.250 0.500
```

=====

(8)
Density functional theory data (PBE-GGA) for crystalline Li3Zn4 at its relaxed geometry.

Geometry as POSCAR:
```
Li3Zn4
1.0
11.253 0.095 0.000
10.372 4.364 0.000
-10.812 -2.230 2.179
Zn Li
4 3
Direct
0.861 0.861 0.000
0.139 0.139 0.000
0.568 0.568 0.000
0.432 0.432 0.000
0.000 0.000 0.000
0.709 0.709 0.000
0.291 0.291 0.000
```

Computed properties:
Distance to the lowest polymorph of the same formula (eV/atom): 0.021

=====

Computed final energy (eV per atom) in order:
-1.62; -1.68; -1.34; -1.04; -1.81; -1.76; -1.80; -1.68
Computed DFT formation energy (meV per atom) in order:
-133; -90; -20; 551; -134; -205; -207; -131